# ZrReP2

A relaxed structure of ZrReP2 (PBE, Alexandria via LeMat-Bulk).

Properties
Excess energy over the best structure of this formula in the dataset ... 292 meV/atom
Size of the total moment ... 0.00 μB per cell
Fermi-level density of states ... 1.7 states/eV per cell

POSCAR file:
```
ZrReP2
1.0
2.145 -2.146 0.000
2.145 2.146 0.000
0.000 0.000 6.499
Zr P Re
1 2 1
Direct
0.500 0.500 0.000
0.000 0.000 0.719
0.000 0.000 0.281
0.500 0.500 0.500
```

# TlHgH

A relaxed structure of TlHgH (PBE, Alexandria via LeMat-Bulk).

Properties
Excess energy over the best structure of this formula in the dataset ... 242 meV/atom
Size of the total moment ... 0.00 μB per cell
Fermi-level density of states ... 0.0 states/eV per cell

POSCAR file:
```
TlHgH
1.0
-2.922 -0.142 -1.942
2.520 -2.405 -0.442
-3.053 -4.097 4.893
Hg Tl H
1 1 1
Direct
0.000 0.000 0.977
0.667 0.333 0.438
0.333 0.667 0.585
```

# PrThIn2

A relaxed structure of PrThIn2 (PBE, Alexandria via LeMat-Bulk).

Properties
Uncorrected energy ... -4.78 eV per atom
Size of the total moment ... 0.00 μB per cell
Fermi-level density of states ... 3.8 states/eV per cell

POSCAR file:
```
PrThIn2
1.0
4.545 0.000 0.000
0.000 5.050 0.000
0.000 0.000 5.050
Th In Pr
1 2 1
Direct
0.500 0.500 0.500
0.000 0.000 0.500
0.000 0.500 0.000
0.500 0.000 0.000
```

# AsRu2

A relaxed structure of AsRu2 (PBE, Alexandria via LeMat-Bulk).

Properties
Uncorrected energy ... -7.73 eV per atom
Size of the total moment ... 0.00 μB per cell
Fermi-level density of states ... 3.3 states/eV per cell

POSCAR file:
```
AsRu2
1.0
1.468 4.832 0.048
-1.468 4.832 0.048
0.000 0.868 6.204
Ru As
4 2
Direct
0.567 0.567 0.264
0.299 0.299 0.979
0.682 0.682 0.642
0.951 0.951 0.621
0.301 0.301 0.368
0.033 0.033 0.960
```

# Tl3WC

A relaxed structure of Tl3WC (PBE, Alexandria via LeMat-Bulk).

Properties
Excess energy over the best structure of this formula in the dataset ... 142 meV/atom
Size of the total moment ... 0.16 μB per cell
Fermi-level density of states ... 5.3 states/eV per cell

POSCAR file:
```
Tl3WC
1.0
5.463 0.000 0.000
0.000 5.463 0.000
0.000 0.000 5.463
Tl W C
3 1 1
Direct
0.500 0.000 0.000
0.000 0.500 0.000
0.000 0.000 0.500
0.000 0.000 0.000
0.500 0.500 0.500
```

# TbAl2Ni6

A relaxed structure of TbAl2Ni6 (PBE, Alexandria via LeMat-Bulk).

Properties
Uncorrected energy ... -5.40 eV per atom
Size of the total moment ... 0.00 μB per cell
Fermi-level density of states ... 9.2 states/eV per cell

POSCAR file:
```
TbAl2Ni6
1.0
2.894 0.000 0.000
1.447 7.005 1.363
1.447 2.719 6.598
Ni Al Tb
6 2 1
Direct
0.680 0.009 0.632
0.320 0.368 0.991
0.500 0.332 0.668
0.500 0.668 0.332
0.320 0.991 0.368
0.680 0.632 0.009
0.856 0.644 0.644
0.144 0.356 0.356
0.000 0.000 0.000
```

# La3Tl

A relaxed structure of La3Tl (PBE, Alexandria via LeMat-Bulk).

Properties
Excess energy over the best structure of this formula in the dataset ... 48 meV/atom
Size of the total moment ... 0.00 μB per cell
Fermi-level density of states ... 4.6 states/eV per cell

POSCAR file:
```
La3Tl
1.0
6.226 0.012 -0.001
5.119 3.544 -0.001
1.006 0.315 5.978
La Tl
3 1
Direct
0.500 0.500 0.500
0.263 0.263 0.230
0.737 0.737 0.770
0.000 0.000 0.000
```

# SrScBr2

A relaxed structure of SrScBr2 (PBE, Alexandria via LeMat-Bulk).

Properties
Uncorrected formation energy ... -1.117 eV per atom
Excess energy over the best structure of this formula in the dataset ... 0 meV/atom
Size of the total moment ... 0.94 μB per cell
Fermi-level density of states ... 1.9 states/eV per cell

POSCAR file:
```
SrScBr2
1.0
-1.355 3.252 -1.225
0.096 -1.279 -3.502
-8.588 -3.223 0.942
Br Sr Sc
2 1 1
Direct
0.500 0.500 0.320
0.000 0.000 0.954
0.500 0.500 0.769
0.000 0.000 0.457
```

# Ca2HO

A relaxed structure of Ca2HO (PBE, Alexandria via LeMat-Bulk).

Properties
Excess energy over the best structure of this formula in the dataset ... 449 meV/atom
Size of the total moment ... 0.00 μB per cell
Fermi-level density of states ... 2.0 states/eV per cell

POSCAR file:
```
Ca2HO
1.0
1.316 1.570 3.699
-0.592 4.091 0.891
-2.821 1.137 2.938
O H Ca
1 1 2
Direct
0.500 0.500 0.500
0.000 0.000 0.000
0.250 0.250 0.250
0.750 0.750 0.750
```

# CoNiRh2

A relaxed structure of CoNiRh2 (PBE, Alexandria via LeMat-Bulk).

Properties
Excess energy over the best structure of this formula in the dataset ... 12 meV/atom
Size of the total moment ... 3.18 μB per cell
Fermi-level density of states ... 6.6 states/eV per cell

POSCAR file:
```
CoNiRh2
1.0
2.653 0.000 0.000
0.000 3.678 0.000
0.000 0.000 5.253
Rh Ni Co
2 1 1
Direct
0.500 0.500 0.260
0.000 0.000 0.989
0.500 0.500 0.742
0.000 0.000 0.508
```

# NdPuZnPt

A relaxed structure of NdPuZnPt (PBE, Alexandria via LeMat-Bulk).

Properties
Uncorrected energy ... -7.11 eV per atom
Size of the total moment ... 5.69 μB per cell
Fermi-level density of states ... 8.7 states/eV per cell

POSCAR file:
```
NdPuZnPt
1.0
5.085 0.000 0.000
2.543 4.404 0.000
2.543 1.468 4.152
Nd Zn Pu Pt
1 1 1 1
Direct
0.500 0.500 0.500
0.250 0.250 0.250
0.000 0.000 0.000
0.750 0.750 0.750
```

# Tl2TeSe

A relaxed structure of Tl2TeSe (PBE, Alexandria via LeMat-Bulk).

Properties
Uncorrected formation energy ... 0.014 eV per atom
Excess energy over the best structure of this formula in the dataset ... 230 meV/atom
Size of the total moment ... 0.00 μB per cell
Fermi-level density of states ... 1.6 states/eV per cell

POSCAR file:
```
Tl2TeSe
1.0
-0.670 0.401 3.314
3.013 -1.382 0.779
4.732 10.162 -0.273
Te Se Tl
1 1 2
Direct
0.500 0.500 0.771
0.000 0.000 0.460
0.500 0.500 0.286
0.000 0.000 0.983
```